Record 1
UOsPd: optimized geometry, GGA-PBE.

Computed properties:
* total moment: 0.000 μB/atom
* theoretical density: 14.018 g/cm³
* volume: 21.1 A^3/atom
* DOS at the Fermi energy: 2.47 states/eV/f.u.
* E: -54.24 eV for the cell shown

a = 4.561 Å, b = 4.561 Å, c = 7.509 Å
α = 72.32°, β = 72.32°, γ = 60.00°
Fractional coordinates of all 6 atoms:
U: 0.434 0.434 0.698
Os: 0.322 0.322 0.034
Pd: 0.169 0.169 0.492
Os: 0.678 0.678 0.966
U: 0.566 0.566 0.302
Pd: 0.831 0.831 0.508



Record 2
NbMoC2I: optimized geometry, GGA-PBE.

Computed properties:
* total moment: 0.001 μB/atom
* theoretical density: 6.265 g/cm³
* volume: 18.0 A^3/atom
* DOS at the Fermi energy: 9.53 states/eV/f.u.
* uncorrected formation energy: 1900 meV per atom

a = 4.067 Å, b = 5.444 Å, c = 4.067 Å
α = 90.00°, β = 90.00°, γ = 90.00°
Fractional coordinates of all 5 atoms:
C: 0.000 0.000 0.500
I: 0.000 0.500 0.000
C: 0.500 0.000 0.000
Mo: 0.000 0.000 0.000
Nb: 0.500 0.500 0.500



Record 3
Pr2NiP2: optimized geometry, GGA-PBE.

Computed properties:
* total moment: 0.000 μB/atom
* theoretical density: 6.460 g/cm³
* volume: 20.7 A^3/atom
* DOS at the Fermi energy: 2.57 states/eV/f.u.
* E: -63.94 eV for the cell shown

a = 3.998 Å, b = 5.754 Å, c = 9.952 Å
α = 76.46°, β = 78.41°, γ = 69.67°
Fractional coordinates of all 10 atoms:
P: 0.651 0.842 0.857
Ni: 0.430 0.818 0.322
Pr: 0.908 0.284 0.901
Pr: 0.697 0.246 0.361
P: 0.349 0.158 0.143
Pr: 0.303 0.754 0.639
P: 0.041 0.325 0.594
Pr: 0.092 0.716 0.099
P: 0.959 0.675 0.406
Ni: 0.570 0.182 0.678



Record 4
BaBe2Pb: optimized geometry, GGA-PBE.

Computed properties:
* total moment: 0.000 μB/atom
* theoretical density: 5.486 g/cm³
* volume: 27.4 A^3/atom
* DOS at the Fermi energy: 1.96 states/eV/f.u.
* E: -11.52 eV for the cell shown

a = 5.606 Å, b = 5.606 Å, c = 5.606 Å
α = 136.96°, β = 107.55°, γ = 88.14°
Fractional coordinates of all 4 atoms:
Pb: 0.577 0.577 0.000
Be: 0.882 0.882 0.000
Ba: 0.230 0.730 0.500
Be: 0.811 0.311 0.500



Record 5
TbPrEr5: optimized geometry, GGA-PBE.

Computed properties:
* total moment: 0.000 μB/atom
* theoretical density: 8.408 g/cm³
* volume: 32.1 A^3/atom
* DOS at the Fermi energy: 8.70 states/eV/f.u.
* E: -61.65 eV for the cell shown

a = 6.724 Å, b = 6.724 Å, c = 13.670 Å
α = 61.41°, β = 61.41°, γ = 60.77°
Fractional coordinates of all 14 atoms:
Pr: 0.277 0.723 0.250
Er: 0.642 0.698 0.501
Er: 0.698 0.642 0.001
Er: 0.393 0.168 0.249
Er: 0.302 0.358 0.999
Er: 0.832 0.607 0.251
Er: 0.841 0.159 0.250
Pr: 0.723 0.277 0.750
Er: 0.358 0.302 0.499
Er: 0.168 0.393 0.749
Er: 0.159 0.841 0.750
Tb: 0.000 0.000 0.500
Er: 0.607 0.832 0.751
Tb: 0.000 0.000 0.000



Record 6
DyTmGePt: optimized geometry, GGA-PBE.

Computed properties:
* total moment: 0.000 μB/atom
* theoretical density: 11.148 g/cm³
* volume: 22.3 A^3/atom
* DOS at the Fermi energy: 1.48 states/eV/f.u.
* E: -24.07 eV for the cell shown

a = 3.887 Å, b = 4.259 Å, c = 5.730 Å
α = 90.00°, β = 109.83°, γ = 90.00°
Fractional coordinates of all 4 atoms:
Pt: 0.416 0.000 0.832
Ge: 0.583 0.500 0.166
Dy: 0.860 0.500 0.721
Tm: 0.140 0.000 0.281



Record 7
K2Tl6InSn: optimized geometry, GGA-PBE.

Computed properties:
* total moment: 0.000 μB/atom
* theoretical density: 6.742 g/cm³
* volume: 37.9 A^3/atom
* DOS at the Fermi energy: 5.04 states/eV/f.u.
* E: -45.76 eV for the cell shown

a = 7.989 Å, b = 7.989 Å, c = 14.461 Å
α = 73.96°, β = 73.96°, γ = 60.00°
Fractional coordinates of all 20 atoms:
Tl: 0.226 0.635 0.913
K: 0.719 0.719 0.842
Tl: 0.924 0.339 0.397
In: 0.000 0.000 0.000
Tl: 0.226 0.226 0.913
K: 0.896 0.896 0.311
Tl: 0.774 0.365 0.087
Tl: 0.774 0.774 0.087
Tl: 0.635 0.226 0.913
Tl: 0.339 0.924 0.397
Tl: 0.661 0.661 0.603
Tl: 0.076 0.661 0.603
Tl: 0.365 0.774 0.087
In: 0.500 0.500 0.500
K: 0.104 0.104 0.689
Sn: 0.424 0.424 0.728
Tl: 0.339 0.339 0.397
K: 0.281 0.281 0.158
Tl: 0.661 0.076 0.603
Sn: 0.576 0.576 0.272



Record 8
CsNa17Ca: optimized geometry, GGA-PBE.

Computed properties:
* total moment: 0.000 μB/atom
* theoretical density: 1.211 g/cm³
* volume: 40.7 A^3/atom
* DOS at the Fermi energy: 9.47 states/eV/f.u.
* E: -24.46 eV for the cell shown

a = 9.297 Å, b = 9.297 Å, c = 9.297 Å
α = 80.41°, β = 80.41°, γ = 80.41°
Fractional coordinates of all 19 atoms:
Na: 0.339 0.888 0.339
Na: 0.297 0.695 0.011
Na: 0.911 0.911 0.911
Na: 0.695 0.297 0.011
Na: 0.888 0.339 0.339
Na: 0.620 0.620 0.198
Na: 0.198 0.620 0.620
Na: 0.011 0.297 0.695
Na: 0.011 0.695 0.297
Ca: 0.319 0.319 0.319
Na: 0.695 0.011 0.297
Na: 0.992 0.992 0.513
Na: 0.992 0.513 0.992
Na: 0.098 0.098 0.098
Na: 0.620 0.198 0.620
Na: 0.339 0.339 0.888
Na: 0.513 0.992 0.992
Cs: 0.665 0.665 0.665
Na: 0.297 0.011 0.695



Record 9
Ti3BeTe: optimized geometry, GGA-PBE.

Computed properties:
* total moment: 0.000 μB/atom
* theoretical density: 5.622 g/cm³
* volume: 16.6 A^3/atom
* DOS at the Fermi energy: 5.31 states/eV/f.u.
* uncorrected formation energy: -354 meV per atom

a = 3.584 Å, b = 6.992 Å, c = 7.102 Å
α = 111.56°, β = 90.00°, γ = 90.00°
Fractional coordinates of all 10 atoms:
Ti: 0.195 0.721 0.474
Ti: 0.695 0.701 0.080
Be: 0.695 0.644 0.700
Te: 0.195 0.381 0.063
Ti: 0.695 0.035 0.880
Ti: 0.195 0.386 0.674
Te: 0.695 0.040 0.491
Ti: 0.695 0.380 0.357
Ti: 0.195 0.042 0.197
Be: 0.195 0.777 0.854



Record 10
Ta2TcSe: optimized geometry, GGA-PBE.

Computed properties:
* total moment: 0.000 μB/atom
* theoretical density: 13.307 g/cm³
* volume: 16.8 A^3/atom
* DOS at the Fermi energy: 2.27 states/eV/f.u.
* uncorrected formation energy: -14 meV per atom

a = 4.682 Å, b = 4.682 Å, c = 3.174 Å
α = 84.64°, β = 84.64°, γ = 102.23°
Fractional coordinates of all 4 atoms:
Se: 0.000 0.500 0.500
Ta: 0.500 0.500 0.000
Ta: 0.000 0.000 0.000
Tc: 0.500 0.000 0.500



Record 11
Sc2TaSnC: optimized geometry, GGA-PBE.

Computed properties:
* total moment: 0.000 μB/atom
* theoretical density: 7.479 g/cm³
* volume: 17.8 A^3/atom
* DOS at the Fermi energy: 3.20 states/eV/f.u.
* E: -40.34 eV for the cell shown

a = 4.569 Å, b = 4.569 Å, c = 4.272 Å
α = 90.00°, β = 90.00°, γ = 90.00°
Fractional coordinates of all 5 atoms:
Sc: 0.500 0.000 0.000
Sn: 0.500 0.500 0.500
C: 0.000 0.000 0.000
Sc: 0.000 0.500 0.000
Ta: 0.000 0.000 0.500



Record 12
NiTeP2Cl: optimized geometry, GGA-PBE.

Computed properties:
* total moment: 0.000 μB/atom
* theoretical density: 5.031 g/cm³
* volume: 18.7 A^3/atom
* DOS at the Fermi energy: 3.81 states/eV/f.u.
* uncorrected formation energy: 361 meV per atom

a = 4.571 Å, b = 4.571 Å, c = 4.481 Å
α = 90.00°, β = 90.00°, γ = 90.00°
Fractional coordinates of all 5 atoms:
Ni: 0.000 0.000 0.000
P: 0.500 0.000 0.000
Cl: 0.000 0.000 0.500
P: 0.000 0.500 0.000
Te: 0.500 0.500 0.500



Q: Number 7 is which compound?
A: K2Tl6InSn



Q: Which value of volume does entry 11 give?
A: 17.8 A^3/atom



Q: Among the records above, which one has the highest total moment?
A: NbMoC2I



Q: Look up the theoretical density of the second one.
A: 6.265 g/cm³